No. 1
Computed, not measured: a geometry-optimized AcNdSmDy structure at the PBE-GGA level of DFT.

Computed properties:
- final energy (eV/cell) = -17.54
- size of the total moment (μB per cell) = 0.01
- V (Å³/atom) = 36.47
- distance to the lowest polymorph of the same formula (meV/atom) = 116
- formation enthalpy at 0 K (eV per formula unit) = 0.7
- N(E_F) (states/eV/f.u.) = 10.789

Unit cell a=5.909 b=5.909 c=5.909 alpha=60.00 beta=60.00 gamma=60.00
Atoms (fractional coordinates):
Ac (0.000, 0.000, 0.000)
Nd (0.250, 0.250, 0.250)
Sm (0.750, 0.750, 0.750)
Dy (0.500, 0.500, 0.500)


No. 2
Computed, not measured: a geometry-optimized AcNdSm3Dy structure at the PBE-GGA level of DFT.

Computed properties:
- final energy (eV/cell) = -54.83
- size of the total moment (μB per cell) = 0.00
- V (Å³/atom) = 35.35
- formation enthalpy at 0 K (eV per formula unit) = 0.2
- N(E_F) (states/eV/f.u.) = 9.793

Unit cell a=5.212 b=8.253 c=11.025 alpha=116.57 beta=90.00 gamma=90.00
Atoms (fractional coordinates):
Ac (0.250, 0.125, 0.293)
Ac (0.750, 0.875, 0.707)
Nd (0.250, 0.621, 0.125)
Nd (0.750, 0.379, 0.875)
Sm (0.750, 0.870, 0.040)
Sm (0.250, 0.130, 0.960)
Sm (0.250, 0.626, 0.454)
Sm (0.750, 0.374, 0.546)
Sm (0.750, 0.380, 0.208)
Sm (0.250, 0.620, 0.792)
Dy (0.250, 0.128, 0.626)
Dy (0.750, 0.872, 0.374)


No. 3
Computed, not measured: a geometry-optimized AcNd4SmDy2 structure at the PBE-GGA level of DFT.

Computed properties:
- final energy (eV/cell) = -36.85
- size of the total moment (μB per cell) = 0.00
- V (Å³/atom) = 35.27
- formation enthalpy at 0 K (eV per formula unit) = 0.3
- N(E_F) (states/eV/f.u.) = 12.634

Unit cell a=5.203 b=6.369 c=9.749 alpha=89.75 beta=74.52 gamma=65.89
Atoms (fractional coordinates):
Ac (0.500, 0.500, 0.500)
Nd (0.122, 0.125, 0.630)
Nd (0.373, 0.375, 0.878)
Nd (0.878, 0.875, 0.370)
Nd (0.627, 0.625, 0.122)
Sm (0.000, 0.000, 0.000)
Dy (0.744, 0.757, 0.756)
Dy (0.256, 0.243, 0.244)


No. 4
Computed, not measured: a geometry-optimized AcNd4Sm2Dy structure at the PBE-GGA level of DFT.

Computed properties:
- final energy (eV/cell) = -37.04
- size of the total moment (μB per cell) = 0.00
- V (Å³/atom) = 35.51
- formation enthalpy at 0 K (eV per formula unit) = 0.2
- N(E_F) (states/eV/f.u.) = 12.154

Unit cell a=5.224 b=5.200 c=11.680 alpha=63.56 beta=90.00 gamma=90.00
Atoms (fractional coordinates):
Ac (0.500, 0.500, 0.000)
Nd (0.000, 0.757, 0.742)
Nd (0.000, 0.243, 0.258)
Nd (0.500, 0.743, 0.258)
Nd (0.500, 0.257, 0.742)
Sm (0.000, 0.000, 0.000)
Sm (0.500, 0.000, 0.500)
Dy (0.000, 0.500, 0.500)


No. 5
Computed, not measured: a geometry-optimized AcNd2SmDy5 structure at the PBE-GGA level of DFT.

Computed properties:
- final energy (eV/cell) = -78.29
- size of the total moment (μB per cell) = 0.00
- V (Å³/atom) = 34.21
- formation enthalpy at 0 K (eV per formula unit) = 2.2
- N(E_F) (states/eV/f.u.) = 9.628

Unit cell a=8.848 b=8.848 c=10.051 alpha=116.11 beta=116.11 gamma=90.00
Atoms (fractional coordinates):
Ac (0.250, 0.250, 0.500)
Ac (0.750, 0.750, 0.500)
Nd (0.117, 0.383, 0.000)
Nd (0.617, 0.117, 0.000)
Nd (0.383, 0.883, 0.000)
Nd (0.883, 0.617, 0.000)
Sm (0.250, 0.750, 0.500)
Sm (0.750, 0.250, 0.500)
Dy (0.927, 0.427, 0.266)
Dy (0.661, 0.161, 0.734)
Dy (0.073, 0.573, 0.734)
Dy (0.161, 0.073, 0.734)
Dy (0.573, 0.661, 0.734)
Dy (0.839, 0.927, 0.266)
Dy (0.427, 0.339, 0.266)
Dy (0.339, 0.839, 0.266)
Dy (0.500, 0.500, 0.000)
Dy (0.000, 0.000, 0.000)


No. 6
Computed, not measured: a geometry-optimized Ac2NdSm5Dy structure at the PBE-GGA level of DFT.

Computed properties:
- final energy (eV/cell) = -79.86
- size of the total moment (μB per cell) = 0.00
- V (Å³/atom) = 36.75
- formation enthalpy at 0 K (eV per formula unit) = 1.3
- N(E_F) (states/eV/f.u.) = 12.711

Unit cell a=5.843 b=10.652 c=11.053 alpha=90.00 beta=90.00 gamma=105.92
Atoms (fractional coordinates):
Ac (0.880, 0.760, 0.825)
Ac (0.110, 0.220, 0.733)
Ac (0.120, 0.240, 0.325)
Ac (0.890, 0.780, 0.233)
Nd (0.791, 0.582, 0.505)
Nd (0.209, 0.418, 0.005)
Sm (0.400, 0.799, 0.027)
Sm (0.714, 0.428, 0.801)
Sm (0.478, 0.955, 0.742)
Sm (0.296, 0.592, 0.698)
Sm (0.979, 0.958, 0.529)
Sm (0.600, 0.201, 0.527)
Sm (0.286, 0.572, 0.301)
Sm (0.522, 0.045, 0.242)
Sm (0.704, 0.408, 0.198)
Sm (0.021, 0.042, 0.029)
Dy (0.588, 0.176, 0.964)
Dy (0.412, 0.824, 0.464)


No. 7
Computed, not measured: a geometry-optimized AcNd5SmDy2 structure at the PBE-GGA level of DFT.

Computed properties:
- final energy (eV/cell) = -81.19
- size of the total moment (μB per cell) = 0.00
- V (Å³/atom) = 36.42
- formation enthalpy at 0 K (eV per formula unit) = 1.3
- N(E_F) (states/eV/f.u.) = 11.235

Unit cell a=5.620 b=12.545 c=9.540 alpha=90.00 beta=90.00 gamma=102.94
Atoms (fractional coordinates):
Ac (0.602, 0.205, 0.927)
Ac (0.398, 0.795, 0.427)
Nd (0.395, 0.791, 0.032)
Nd (0.741, 0.482, 0.860)
Nd (0.476, 0.951, 0.753)
Nd (0.310, 0.621, 0.725)
Nd (0.008, 0.016, 0.532)
Nd (0.605, 0.209, 0.532)
Nd (0.259, 0.518, 0.360)
Nd (0.524, 0.049, 0.253)
Nd (0.690, 0.379, 0.225)
Nd (0.992, 0.984, 0.032)
Sm (0.763, 0.526, 0.535)
Sm (0.237, 0.474, 0.035)
Dy (0.888, 0.776, 0.786)
Dy (0.172, 0.344, 0.674)
Dy (0.112, 0.224, 0.286)
Dy (0.828, 0.656, 0.174)


No. 8
Computed, not measured: a geometry-optimized AcNd6SmDy2 structure at the PBE-GGA level of DFT.

Computed properties:
- final energy (eV/cell) = -90.92
- size of the total moment (μB per cell) = 0.00
- V (Å³/atom) = 35.75
- formation enthalpy at 0 K (eV per formula unit) = 1.2
- N(E_F) (states/eV/f.u.) = 14.459

Unit cell a=9.846 b=9.075 c=9.075 alpha=117.49 beta=93.28 gamma=93.28
Atoms (fractional coordinates):
Ac (0.250, 0.971, 0.029)
Ac (0.750, 0.029, 0.971)
Nd (0.054, 0.118, 0.752)
Nd (0.446, 0.248, 0.882)
Nd (0.946, 0.882, 0.248)
Nd (0.554, 0.752, 0.118)
Nd (0.319, 0.987, 0.445)
Nd (0.181, 0.555, 0.013)
Nd (0.681, 0.013, 0.555)
Nd (0.819, 0.445, 0.987)
Nd (0.119, 0.707, 0.490)
Nd (0.381, 0.510, 0.293)
Nd (0.881, 0.293, 0.510)
Nd (0.619, 0.490, 0.707)
Sm (0.250, 0.410, 0.590)
Sm (0.750, 0.590, 0.410)
Dy (0.453, 0.799, 0.692)
Dy (0.047, 0.308, 0.201)
Dy (0.547, 0.201, 0.308)
Dy (0.953, 0.692, 0.799)


No. 9
Computed, not measured: a geometry-optimized AcNd2Sm6Dy3 structure at the PBE-GGA level of DFT.

Computed properties:
- final energy (eV/cell) = -55.44
- size of the total moment (μB per cell) = 0.00
- V (Å³/atom) = 34.31
- formation enthalpy at 0 K (eV per formula unit) = 0.3
- N(E_F) (states/eV/f.u.) = 17.193

Unit cell a=6.322 b=6.322 c=12.082 alpha=95.01 beta=95.01 gamma=120.00
Atoms (fractional coordinates):
Ac (0.000, 0.000, 0.000)
Nd (0.333, 0.667, 0.000)
Nd (0.667, 0.333, 0.000)
Sm (0.914, 0.578, 0.744)
Sm (0.751, 0.751, 0.257)
Sm (0.086, 0.422, 0.256)
Sm (0.578, 0.914, 0.744)
Sm (0.249, 0.249, 0.743)
Sm (0.422, 0.086, 0.256)
Dy (0.167, 0.833, 0.500)
Dy (0.833, 0.167, 0.500)
Dy (0.500, 0.500, 0.500)


No. 10
Computed, not measured: a geometry-optimized AcNdSm2Dy structure at the PBE-GGA level of DFT.

Computed properties:
- final energy (eV/cell) = -42.41
- size of the total moment (μB per cell) = 0.00
- V (Å³/atom) = 37.70
- formation enthalpy at 0 K (eV per formula unit) = 1.7
- N(E_F) (states/eV/f.u.) = 6.899

Unit cell a=7.352 b=8.375 c=7.418 alpha=124.37 beta=90.00 gamma=90.00
Atoms (fractional coordinates):
Ac (0.250, 0.757, 0.514)
Ac (0.750, 0.243, 0.486)
Nd (0.250, 0.058, 0.116)
Nd (0.750, 0.942, 0.884)
Sm (0.500, 0.306, 0.000)
Sm (0.000, 0.694, 0.000)
Sm (0.500, 0.694, 0.000)
Sm (0.000, 0.306, 0.000)
Dy (0.750, 0.693, 0.386)
Dy (0.250, 0.307, 0.614)


No. 11
Computed, not measured: a geometry-optimized Ac2Nd5SmDy structure at the PBE-GGA level of DFT.

Computed properties:
- final energy (eV/cell) = -80.39
- size of the total moment (μB per cell) = 0.00
- V (Å³/atom) = 37.31
- formation enthalpy at 0 K (eV per formula unit) = 1.2
- N(E_F) (states/eV/f.u.) = 12.634

Unit cell a=5.860 b=10.788 c=11.039 alpha=90.00 beta=90.00 gamma=105.76
Atoms (fractional coordinates):
Ac (0.882, 0.763, 0.821)
Ac (0.112, 0.224, 0.733)
Ac (0.118, 0.237, 0.321)
Ac (0.888, 0.776, 0.233)
Nd (0.393, 0.787, 0.024)
Nd (0.717, 0.434, 0.807)
Nd (0.481, 0.962, 0.743)
Nd (0.295, 0.591, 0.700)
Nd (0.980, 0.961, 0.524)
Nd (0.607, 0.213, 0.524)
Nd (0.283, 0.566, 0.307)
Nd (0.519, 0.038, 0.243)
Nd (0.705, 0.409, 0.200)
Nd (0.020, 0.039, 0.024)
Sm (0.793, 0.587, 0.507)
Sm (0.207, 0.413, 0.007)
Dy (0.591, 0.182, 0.965)
Dy (0.409, 0.818, 0.465)


No. 12
Computed, not measured: a geometry-optimized AcNdSm4Dy2 structure at the PBE-GGA level of DFT.

Computed properties:
- final energy (eV/cell) = -36.68
- size of the total moment (μB per cell) = 0.00
- V (Å³/atom) = 34.70
- formation enthalpy at 0 K (eV per formula unit) = 0.3
- N(E_F) (states/eV/f.u.) = 12.280

Unit cell a=5.166 b=6.338 c=9.701 alpha=89.81 beta=74.56 gamma=65.95
Atoms (fractional coordinates):
Ac (0.500, 0.500, 0.500)
Nd (0.000, 0.000, 0.000)
Sm (0.122, 0.126, 0.629)
Sm (0.373, 0.376, 0.878)
Sm (0.878, 0.874, 0.371)
Sm (0.627, 0.624, 0.122)
Dy (0.744, 0.757, 0.755)
Dy (0.256, 0.243, 0.245)